(1)
Entry from Alexandria: a relaxed structure of Nd3Al2Cd (PBE).

abc: 5.3487 5.3487 13.0883
angles: 90.00 90.00 120.00
Last column: nearest neighbours and their distance in Å.
Sites, in units of the cell vectors:
Nd: 0.3333 0.6667 0.4160  4 Al 3.22-3.28, 4 Cd 3.28-3.32
Nd: 0.6667 0.3333 0.0786  7 Al 3.25-3.31, 1 Cd 3.30
Nd: 0.0000 0.0000 0.7564  5 Al 3.19-3.36, 3 Cd 3.29
Nd: 0.0000 0.0000 0.2436  5 Al 3.19-3.36, 3 Cd 3.29
Nd: 0.3333 0.6667 0.9214  7 Al 3.25-3.31, 1 Cd 3.30
Nd: 0.6667 0.3333 0.5840  4 Al 3.22-3.28, 4 Cd 3.28-3.32
Al: 0.0000 0.0000 0.5000  8 Nd 3.28-3.36
Al: 0.3333 0.6667 0.1697  8 Nd 3.22-3.31
Al: 0.6667 0.3333 0.8303  8 Nd 3.22-3.31
Al: 0.0000 0.0000 0.0000  8 Nd 3.19-3.25
Cd: 0.3333 0.6667 0.6694  8 Nd 3.28-3.32
Cd: 0.6667 0.3333 0.3306  8 Nd 3.28-3.32

## Properties
ΔE_f = -2.02 eV per formula unit
magnetization = 0.000 μB/cell
space group = P-3m1 (164)

(2)
Entry from Alexandria: a relaxed structure of InPtBr (PBE).

abc: 6.1984 6.1993 3.4711
angles: 73.73 73.76 32.52
Last column: nearest neighbours and their distance in Å.
Sites, in units of the cell vectors:
Br: 0.0115 0.0115 0.9885  4 Pt 3.20-3.21, 5 In 3.24-3.47, 4 Br 3.47
Pt: 0.6925 0.6925 0.3075  4 In 2.72
In: 0.2960 0.2960 0.7040  4 Pt 2.72

## Properties
magnetization = 0.000 μB/cell
raw formation energy = -0.02 eV per atom
space group = I4mm (107)

(3)
Entry from Alexandria: a relaxed structure of CsIF2 (PBE).

abc: 4.9518 4.9518 13.0719
angles: 90.00 90.00 120.00
Last column: nearest neighbours and their distance in Å.
Sites, in units of the cell vectors:
Cs: 0.0000 0.0000 0.5000  6 F 3.08
Cs: 0.0000 0.0000 0.0000  6 F 3.08
I: 0.6667 0.3333 0.7500  2 F 2.13
I: 0.3333 0.6667 0.2500  2 F 2.13
F: 0.6667 0.3333 0.5872  1 I 2.13
F: 0.6667 0.3333 0.9128  1 I 2.13
F: 0.3333 0.6667 0.4128  1 I 2.13
F: 0.3333 0.6667 0.0872  1 I 2.13

## Properties
magnetization = 0.000 μB/cell
raw formation energy = -1.91 eV per atom
space group = P6_3/mmc (194)

(4)
Entry from Alexandria: a relaxed structure of ZrMnFe2C (PBE).

abc: 3.8445 3.8978 3.8445
angles: 90.00 90.00 90.00
Last column: nearest neighbours and their distance in Å.
Sites, in units of the cell vectors:
C: 0.0000 0.0000 0.0000  4 Fe 1.92, 2 Mn 1.95
Mn: 0.0000 0.5000 0.0000  2 C 1.95
Fe: 0.0000 0.0000 0.5000  2 C 1.92
Fe: 0.5000 0.0000 0.0000  2 C 1.92
Zr: 0.5000 0.5000 0.5000  4 Mn 2.72, 8 Fe 2.74

## Properties
ΔE_f = -0.85 eV per formula unit
magnetization = 0.564 μB/cell
space group = P4/mmm (123)

(5)
Entry from Alexandria: a relaxed structure of SrCd (PBE).

abc: 12.4862 12.4862 4.0600
angles: 90.00 90.00 90.00
Last column: nearest neighbours and their distance in Å.
Sites, in units of the cell vectors:
Sr: 0.3463 0.1392 0.0000  4 Cd 3.48-3.52
Sr: 0.6537 0.8608 0.0000  4 Cd 3.48-3.52
Sr: 0.8608 0.3463 0.0000  4 Cd 3.48-3.52
Sr: 0.1392 0.6537 0.0000  4 Cd 3.48-3.52
Sr: 0.8463 0.6392 0.5000  4 Cd 3.48-3.52
Sr: 0.1537 0.3608 0.5000  4 Cd 3.48-3.52
Sr: 0.3608 0.8463 0.5000  4 Cd 3.48-3.52
Sr: 0.6392 0.1537 0.5000  4 Cd 3.48-3.52
Cd: 0.1530 0.9351 0.0000  2 Cd 2.93
Cd: 0.8470 0.0649 0.0000  2 Cd 2.93
Cd: 0.0649 0.1530 0.0000  2 Cd 2.93
Cd: 0.9351 0.8470 0.0000  2 Cd 2.93
Cd: 0.6530 0.4351 0.5000  2 Cd 2.93
Cd: 0.3470 0.5649 0.5000  2 Cd 2.93
Cd: 0.5649 0.6530 0.5000  2 Cd 2.93
Cd: 0.4351 0.3470 0.5000  2 Cd 2.93

## Properties
ΔE_f = -0.16 eV per formula unit
magnetization = 0.000 μB/cell
space group = I4/m (87)

(6)
Entry from Alexandria: a relaxed structure of AcY2Si6 (PBE).

abc: 4.1241 7.2243 7.2243
angles: 120.00 90.00 90.00
Last column: nearest neighbours and their distance in Å.
Sites, in units of the cell vectors:
Ac: 0.0000 0.0000 0.0000  12 Si 3.21
Y: 0.0000 0.3333 0.6667  12 Si 3.15
Y: 0.0000 0.6667 0.3333  12 Si 3.15
Si: 0.5000 0.3399 0.3399  3 Si 2.31-2.46
Si: 0.5000 0.6601 0.6601  3 Si 2.31-2.46
Si: 0.5000 0.0000 0.6601  3 Si 2.31-2.46
Si: 0.5000 0.6601 0.0000  3 Si 2.31-2.46
Si: 0.5000 0.3399 0.0000  3 Si 2.31-2.46
Si: 0.5000 0.0000 0.3399  3 Si 2.31-2.46

## Properties
magnetization = 0.000 μB/cell
raw formation energy = -0.51 eV per atom
space group = P6/mmm (191)

(7)
Entry from Alexandria: a relaxed structure of Nd6Te3Pt2Se (PBE).

abc: 7.4684 7.4684 7.8509
angles: 99.10 99.10 120.11
Last column: nearest neighbours and their distance in Å.
Sites, in units of the cell vectors:
Nd: 0.9252 0.5795 0.7793  2 Pt 2.93-2.94, 1 Se 3.06, 2 Te 3.22-3.28
Nd: 0.7267 0.7267 0.2192  2 Pt 2.95, 1 Se 3.06, 3 Te 3.17-3.24
Nd: 0.0748 0.4205 0.2207  2 Pt 2.93-2.94, 1 Se 3.06, 2 Te 3.22-3.28
Nd: 0.5795 0.9252 0.7793  2 Pt 2.93-2.94, 1 Se 3.06, 2 Te 3.22-3.28
Nd: 0.2733 0.2733 0.7808  2 Pt 2.95, 1 Se 3.06, 3 Te 3.17-3.24
Nd: 0.4205 0.0748 0.2207  2 Pt 2.93-2.94, 1 Se 3.06, 2 Te 3.22-3.28
Te: 0.1609 0.8391 0.5000  6 Nd 3.22-3.29
Te: 0.8391 0.1609 0.5000  6 Nd 3.22-3.29
Te: 0.5000 0.5000 0.5000  6 Nd 3.17-3.28
Pt: 0.3319 0.6681 0.0000  6 Nd 2.93-2.95
Pt: 0.6681 0.3319 0.0000  6 Nd 2.93-2.95
Se: 0.0000 0.0000 0.0000  6 Nd 3.06

## Properties
magnetization = 0.000 μB/cell
raw formation energy = -1.39 eV per atom
space group = C2/m (12)

(8)
Entry from Alexandria: a relaxed structure of ZrRe2Ag (PBE).

abc: 4.9545 4.9545 4.9545
angles: 133.46 126.25 73.78
Last column: nearest neighbours and their distance in Å.
Sites, in units of the cell vectors:
Ag: 0.2418 0.7418 0.5000  8 Re 2.87-2.98, 4 Zr 2.89-2.90
Re: 0.9764 0.9764 0.0000  2 Re 2.54
Re: 0.7723 0.2723 0.5000  2 Re 2.54
Zr: 0.5094 0.5094 0.0000  8 Re 2.86-2.99, 4 Ag 2.89-2.90

## Properties
ΔE_f = 1.03 eV per formula unit
magnetization = 0.000 μB/cell
space group = Imm2 (44)

(9)
Entry from Alexandria: a relaxed structure of Rb3Pa3GaTe8 (PBE).

abc: 9.0811 9.0816 10.0576
angles: 116.86 90.00 120.00
Last column: nearest neighbours and their distance in Å.
Sites, in units of the cell vectors:
Rb: 0.0000 0.0000 0.0000  6 Te 3.65-3.75
Rb: 0.0000 0.5000 0.0000  6 Te 3.65-3.75
Rb: 0.5000 0.5000 0.0000  6 Te 3.65-3.75
Pa: 0.5000 0.0000 0.5000  6 Te 3.06-3.15
Pa: 0.5000 0.5000 0.5000  6 Te 3.06-3.15
Pa: 0.0000 0.5000 0.5000  6 Te 3.06-3.15
Ga: 0.0000 0.0000 0.5000  6 Te 3.19
Te: 0.2655 0.5310 0.2966  3 Pa 3.15
Te: 0.7345 0.4690 0.7034  3 Pa 3.15
Te: 0.7625 0.5249 0.3061  2 Pa 3.06, 1 Ga 3.19
Te: 0.2375 0.4751 0.6939  2 Pa 3.06, 1 Ga 3.19
Te: 0.7626 0.0435 0.3062  2 Pa 3.06, 1 Ga 3.19
Te: 0.2374 0.9565 0.6938  2 Pa 3.06, 1 Ga 3.19
Te: 0.2810 0.0435 0.3062  2 Pa 3.06, 1 Ga 3.19
Te: 0.7190 0.9565 0.6938  2 Pa 3.06, 1 Ga 3.19

## Properties
magnetization = 3.006 μB/cell
raw formation energy = -0.86 eV per atom
space group = R-3m (166)